No. 1
Below is a relaxed structure of AcTiIn2, with properties calculated at the PBE-GGA level.

Its spin magnetization is 0.23 μB per atom.

The structure belongs to space group R-3m (No. 166, hexagonal axes); the cell edges are 3.4828, 3.4828 and 31.0817 Å and the angles 90.00°, 90.00° and 120.00°. The inequivalent atoms are Ac at (0.0000, 0.0000, 0.0000), Ti at (0.0000, 0.0000, 0.5000) and In at (0.0000, 0.0000, 0.2382).


No. 2
Below is a relaxed structure of Ac11Tl4In9, with properties calculated at the PBE-GGA level.

Its spin magnetization is 0.00 μB per atom.

The structure belongs to space group Cmmm (No. 65); the cell edges are 15.367, 22.841 and 4.690 Å and the angles 90.00°, 90.00° and 90.00°. The inequivalent atoms are Ac at (0.000, 0.000, 0.000), Ac at (0.000, 0.170, 0.000), Ac at (0.000, 0.362, 0.000), Ac at (0.223, 0.500, 0.000), Ac at (0.237, 0.173, 0.000), Tl at (0.151, 0.403, 0.500), In at (0.000, 0.500, 0.500), In at (0.109, 0.261, 0.500) and In at (0.130, 0.077, 0.500).


No. 3
Below is a relaxed structure of Ac2TlIn4, with properties calculated at the PBE-GGA level.

Its spin magnetization is 0.00 μB per atom.

The structure belongs to space group I4/mmm (No. 139); the cell edges are 4.671, 4.671 and 20.210 Å and the angles 90.00°, 90.00° and 90.00°. The inequivalent atoms are Ac at (0.000, 0.000, 0.103), Tl at (0.000, 0.000, 0.500), In at (0.000, 0.000, 0.347) and In at (0.000, 0.500, 0.250).


No. 4
Below is a relaxed structure of Ac3Tl3In, with properties calculated at the PBE-GGA level.

Its spin magnetization is 0.00 μB per atom. For the polymorph energy (0 for the lowest one), the calculation gives 0.1036 eV/atom.

The structure belongs to space group P6_3/m (No. 176); the cell edges are 10.0454, 10.0454 and 5.5381 Å and the angles 90.00°, 90.00° and 120.00°. The inequivalent atoms are Ac at (0.0986, 0.6555, 0.2500), Tl at (0.0448, 0.8231, 0.7500) and In at (0.3333, 0.6667, 0.7500).


No. 5
Below is a relaxed structure of Ac4TlIn, with properties calculated at the PBE-GGA level.

Its spin magnetization is 0.59 μB per atom. For the polymorph energy (0 for the lowest one), the calculation gives 0.0000 eV/atom.

The structure belongs to space group P4/mcc (No. 124); the cell edges are 8.253, 8.253 and 7.026 Å and the angles 90.00°, 90.00° and 90.00°. The inequivalent atoms are Ac at (0.163, 0.335, 0.000), Tl at (0.500, 0.500, 0.250) and In at (0.000, 0.000, 0.250).


No. 6
Below is a relaxed structure of AcTlIn4, with properties calculated at the PBE-GGA level.

Its spin magnetization is 0.00 μB per atom.

The structure belongs to space group F-43m (No. 216); the cell edges are 8.921, 8.921 and 8.921 Å and the angles 90.00°, 90.00° and 90.00°. The inequivalent atoms are Ac at (0.000, 0.000, 0.000), Tl at (0.250, 0.250, 0.750) and In at (0.125, 0.125, 0.375).


No. 7
Below is a relaxed structure of Ac2Tl2In, with properties calculated at the PBE-GGA level.

Its spin magnetization is 0.00 μB per atom. For the polymorph energy (0 for the lowest one), the calculation gives 0.0000 eV/atom.

The structure belongs to space group C2/m (No. 12); the cell edges are 12.555, 5.002 and 11.956 Å and the angles 90.00°, 116.14° and 90.00°. The inequivalent atoms are Ac at (0.003, 0.000, 0.172), Ac at (0.181, 0.000, 0.606), Tl at (0.041, 0.500, 0.392), Tl at (0.150, 0.500, 0.060) and In at (0.205, 0.500, 0.830).


No. 8
Below is a relaxed structure of Ac5Tl5In2, with properties calculated at the PBE-GGA level.

Its spin magnetization is 0.00 μB per atom.

The structure belongs to space group C2/m (No. 12); the cell edges are 17.709, 5.147 and 11.507 Å and the angles 90.00°, 128.72° and 90.00°. The inequivalent atoms are Ac at (0.000, 0.000, 0.000), Ac at (0.104, 0.000, 0.425), Ac at (0.186, 0.000, 0.829), Tl at (0.000, 0.500, 0.500), Tl at (0.066, 0.500, 0.862), Tl at (0.242, 0.500, 0.690) and In at (0.148, 0.500, 0.272).


Results for total DFT energy (no corrections): -4.292; -3.675; -3.385; -3.435; -3.791; -3.091; -3.518; -3.497 (in eV per atom, following the order of the records).
Results for formation energy from the elements: 78; -370; -309; -268; -201; -186; -380; -343 (in meV per atom, following the order of the records).
Results for DOS(E_F): 5.2; 16.6; 2.9; 5.3; 8.8; 5.5; 3.9; 9.3 (in states/eV/f.u., following the order of the records).